(1)
RbPtI: optimized geometry, GGA-PBE.

Cell lengths 9.0548, 10.4761, 5.2809 Å; angles 90.00, 111.31, 90.00 degrees
Space group Cm (No. 8)
One atom of each set of equivalent atoms:
Rb: 0.0000 0.2349 0.0000 x4
Pt: 0.1728 0.0000 0.4961 x2
Pt: 0.2663 0.0000 0.0213 x2
I: 0.3721 0.5000 0.4115 x2
I: 0.4614 0.0000 0.5283 x2

Formation energy from raw total energies in eV/atom: -0.496

***

(2)
RbPtI: optimized geometry, GGA-PBE.

Cell lengths 4.6587, 4.6587, 5.2742 Å; angles 90.00, 90.00, 120.00 degrees
Space group P-6m2 (No. 187)
One atom of each set of equivalent atoms:
Rb: 0.0000 0.0000 0.0000 x1
Pt: 0.6667 0.3333 0.5000 x1
I: 0.3333 0.6667 0.5000 x1

Formation energy from raw total energies in eV/atom: -0.388

***

(3)
RbPtI: optimized geometry, GGA-PBE.

Cell lengths 6.1971, 6.1971, 10.1027 Å; angles 90.00, 90.00, 120.00 degrees
Space group P6_3/mmc (No. 194)
One atom of each set of equivalent atoms:
Rb: 0.3333 0.6667 0.2500 x2
Pt: 0.0000 0.0000 0.0000 x2
I: 0.0000 0.0000 0.2500 x2

Formation energy from raw total energies in eV/atom: -0.142

***

(4)
RbPtI: optimized geometry, GGA-PBE.

Cell lengths 5.7965, 3.9934, 9.3583 Å; angles 90.00, 90.01, 90.00 degrees
Space group Pm (No. 6)
One atom of each set of equivalent atoms:
Rb: 0.0000 0.0000 0.0000 x1
Rb: 0.0067 0.0000 0.4824 x1
Pt: 0.4991 0.5000 0.9733 x1
Pt: 0.5008 0.0000 0.1622 x1
I: 0.5000 0.0000 0.7711 x1
I: 0.5062 0.5000 0.3577 x1

Formation energy from raw total energies in eV/atom: -0.512

***

(5)
Rb4PtI2: optimized geometry, GGA-PBE.

Cell lengths 6.2804, 6.2804, 19.0557 Å; angles 90.00, 90.00, 90.00 degrees
Space group I4/mmm (No. 139)
One atom of each set of equivalent atoms:
Rb: 0.0000 0.0000 0.1676 x4
Rb: 0.0000 0.5000 0.0000 x4
Pt: 0.0000 0.0000 0.0000 x2
I: 0.0000 0.0000 0.3589 x4

Formation energy from raw total energies in eV/atom: -0.780

***

(6)
RbPtI2: optimized geometry, GGA-PBE.

Cell lengths 7.9925, 7.9925, 7.9925 Å; angles 90.00, 90.00, 90.00 degrees
Space group Fm-3m (No. 225)
One atom of each set of equivalent atoms:
Rb: 0.0000 0.0000 0.0000 x4
Pt: 0.0000 0.0000 0.5000 x4
I: 0.2500 0.2500 0.2500 x8

Formation energy from raw total energies in eV/atom: 0.113

***

(7)
RbPtI: optimized geometry, GGA-PBE.

Cell lengths 4.8942, 10.3559, 9.2186 Å; angles 90.00, 90.00, 90.00 degrees
Space group Amm2 (No. 38)
One atom of each set of equivalent atoms:
Rb: 0.0000 0.2356 0.0000 x4
Pt: 0.0000 0.0000 0.2489 x2
Pt: 0.5000 0.0000 0.1021 x2
I: 0.5000 0.0000 0.3778 x2
I: 0.5000 0.0000 0.8186 x2

Formation energy from raw total energies in eV/atom: -0.495

***

(8)
RbPtI: optimized geometry, GGA-PBE.

Cell lengths 13.9176, 3.9892, 7.6744 Å; angles 90.00, 95.57, 90.00 degrees
Space group C2/m (No. 12)
One atom of each set of equivalent atoms:
Rb: 0.1115 0.0000 0.2786 x4
Pt: 0.2096 0.0000 0.9052 x4
I: 0.1203 0.5000 0.7105 x4

Formation energy from raw total energies in eV/atom: -0.555